[1]
A plane-wave DFT calculation with GGA-PBE was carried out for crystalline Sm2Zn2Hg3 at its relaxed geometry.

Summary:
The volume comes out at 23.1 Å³ per atom. The value obtained for the total energy is -15.2 eV per cell. The energy relative to the lowest polymorph listed for this composition is 0.000 eV per atom. The total magnetic moment is 0.0 μB per cell.

a = 5.8242 Å, b = 5.8242 Å, c = 7.5814 Å
α = 112.33°, β = 112.33°, γ = 43.47°
Closest atoms and distances in Å follow each position.
Sites, in units of the cell vectors:
Sm: 0.1388 0.1388 0.2801  4 Zn 3.06-3.25, 4 Hg 3.30-3.40
Sm: 0.8612 0.8612 0.7199  4 Zn 3.06-3.25, 4 Hg 3.30-3.40
Zn: 0.1548 0.1548 0.6969  5 Hg 2.76-2.96, 3 Sm 3.06-3.09
Zn: 0.8452 0.8452 0.3031  5 Hg 2.76-2.96, 3 Sm 3.06-3.09
Hg: 0.3781 0.3781 0.0584  3 Zn 2.82-2.96, 2 Hg 3.06-3.11
Hg: 0.5000 0.5000 0.5000  4 Zn 2.76, 2 Hg 3.06
Hg: 0.6219 0.6219 0.9416  3 Zn 2.82-2.96, 2 Hg 3.06-3.11

***

[2]
A plane-wave DFT calculation with GGA-PBE was carried out for crystalline Sm3Zn8Hg at its relaxed geometry.

Summary:
The volume comes out at 19.7 Å³ per atom. The value obtained for the total energy is -27.9 eV per cell. The total magnetic moment is 0.0 μB per cell.

a = 9.5340 Å, b = 9.5340 Å, c = 9.5340 Å
α = 33.58°, β = 33.58°, γ = 33.58°
Closest atoms and distances in Å follow each position.
Sites, in units of the cell vectors:
Sm: 0.0000 0.0000 0.0000  12 Zn 3.18-3.27, 4 Sm 3.43-3.48
Sm: 0.1271 0.1271 0.1271  12 Zn 3.14-3.32, 3 Hg 3.29, 1 Sm 3.43
Sm: 0.6141 0.6141 0.6141  12 Zn 3.10-3.38, 1 Hg 3.28
Zn: 0.0524 0.5618 0.5618  6 Zn 2.70-2.81
Zn: 0.0619 0.0619 0.5591  6 Zn 2.74-2.78
Zn: 0.0619 0.5591 0.0619  6 Zn 2.74-2.78
Zn: 0.3106 0.3106 0.3106  6 Zn 2.73-2.74
Zn: 0.5591 0.0619 0.0619  6 Zn 2.74-2.78
Zn: 0.5618 0.0524 0.5618  6 Zn 2.70-2.81
Zn: 0.5618 0.5618 0.0524  6 Zn 2.70-2.81
Zn: 0.8099 0.8099 0.8099  6 Zn 2.76-2.78
Hg: 0.4924 0.4924 0.4924  12 Zn 3.15-3.32, 4 Sm 3.28-3.29